Entry 1:
A plane-wave DFT calculation with PBE was carried out for Er2ScAl3CuGe2 after structural relaxation.

The structure in POSCAR format:
```
Er2ScAl3CuGe2
1.0
4.098 0.000 0.000
0.000 5.952 3.458
0.000 -5.952 3.458
Al Cu Er Ge Sc
3 1 2 2 1
Direct
0.500 0.236 0.004
0.500 0.004 0.236
0.500 0.764 0.764
0.000 0.006 0.006
0.000 0.999 0.594
0.000 0.594 0.999
0.500 0.660 0.336
0.500 0.336 0.660
0.000 0.401 0.401
```

Computed properties:
Total DFT energy (no corrections) (eV/atom): -5.0483
Space group: Amm2 (38)

=====

Entry 2:
A plane-wave DFT calculation with PBE was carried out for ThScZn after structural relaxation.

The structure in POSCAR format:
```
ThScZn
1.0
0.000 3.428 3.428
3.428 0.000 3.428
3.428 3.428 0.000
Sc Th Zn
1 1 1
Direct
0.250 0.250 0.250
0.750 0.750 0.750
0.000 0.000 0.000
```

Computed properties:
Offset from the most stable computed form (eV/atom): 0.000
Calculated formation energy (eV per atom): 0.14
Space group: F-43m (216)

=====

Entry 3:
A plane-wave DFT calculation with PBE was carried out for SrBeCo after structural relaxation.

The structure in POSCAR format:
```
SrBeCo
1.0
3.819 -1.703 1.527
0.752 -0.204 4.383
0.009 -3.938 2.076
Be Co Sr
1 1 1
Direct
0.250 0.250 0.250
0.000 0.000 0.000
0.750 0.750 0.750
```

Computed properties:
Offset from the most stable computed form (eV/atom): 0.000
Space group: F-43m (216)

=====

Entry 4:
A plane-wave DFT calculation with PBE was carried out for ZrP2O6F2 after structural relaxation.

The structure in POSCAR format:
```
ZrP2O6F2
1.0
5.466 0.000 0.000
-2.733 4.734 0.000
0.000 0.000 5.295
F O P Zr
2 6 2 1
Direct
0.667 0.333 0.408
0.333 0.667 0.592
0.196 0.359 0.222
0.163 0.804 0.222
0.641 0.837 0.222
0.359 0.163 0.778
0.837 0.196 0.778
0.804 0.641 0.778
0.333 0.667 0.296
0.667 0.333 0.704
0.000 0.000 0.000
```

Computed properties:
Total DFT energy (no corrections) (eV/atom): -7.4755
Space group: P-3 (147)

=====

Number 1: spin magnetization 0.000 μB/atom. Number 2: spin magnetization 0.283 μB/atom. Number 3: spin magnetization 0.014 μB/atom. Number 4: spin magnetization 0.000 μB/atom.